Record 1
First-principles (PBE) data for a relaxed LiPuSc2N4 crystal, as listed in the Alexandria database.

Geometry as POSCAR:
```
LiPuSc2N4
1.0
-0.9967 -2.9486 1.1096
4.9782 -0.9231 2.0185
-2.8518 2.4907 4.0572
Pu Li N Sc
1 1 4 2
Direct
0.0000 0.0000 0.0000
0.5000 0.5000 0.0000
0.0000 0.2135 0.7469
0.5000 0.7430 0.7352
0.5000 0.2570 0.2648
0.0000 0.7865 0.2531
0.0000 0.5000 0.5000
0.5000 0.0000 0.5000
```

Output
- E: -9.1121 eV/atom


Record 2
First-principles (PBE) data for a relaxed Be3ZnCu6 crystal, as listed in the Alexandria database.

Geometry as POSCAR:
```
Be3ZnCu6
1.0
3.7028 0.0000 0.0000
0.0000 7.3496 -0.5297
0.0000 -0.3361 8.0268
Cu Be Zn
12 6 2
Direct
0.2500 0.2813 0.5264
0.2500 0.6207 0.6866
0.2500 0.8201 0.2726
0.7500 0.1799 0.7274
0.7500 0.7187 0.4736
0.7500 0.5350 0.8977
0.7500 0.9373 0.0895
0.2500 0.0627 0.9105
0.7500 0.3793 0.3134
0.7500 0.8395 0.7888
0.2500 0.4650 0.1023
0.2500 0.1605 0.2112
0.7500 0.6449 0.1816
0.7500 0.4540 0.6070
0.2500 0.3551 0.8184
0.2500 0.7431 0.9784
0.2500 0.5460 0.3930
0.7500 0.2569 0.0216
0.2500 0.9454 0.5992
0.7500 0.0546 0.4008
```

Output
- Energy relative to the elements: -0.068 eV/atom


Record 3
First-principles (PBE) data for a relaxed Ti5ZnNi crystal, as listed in the Alexandria database.

Geometry as POSCAR:
```
Ti5ZnNi
1.0
-4.9401 1.9266 0.3170
-1.4967 -4.6774 -2.0244
-4.2187 -4.7242 7.1204
Ti Zn Ni
10 2 2
Direct
0.1492 0.8508 0.2500
0.2612 0.6055 0.5139
0.7388 0.3945 0.4861
0.3401 0.2897 0.7985
0.7103 0.6599 0.7015
0.6599 0.7103 0.2015
0.6055 0.2612 0.0139
0.8508 0.1492 0.7500
0.2897 0.3401 0.2985
0.3945 0.7388 0.9861
0.1944 0.8056 0.7500
0.8056 0.1944 0.2500
0.0000 0.0000 0.5000
0.0000 0.0000 0.0000
```

Output
- Energy relative to the elements: 0.184 eV/atom